No. 1
Density functional theory data (PBE) for a relaxed structure of TaRh.

a b c (Å): 4.4922 4.4922 7.8317
angles (deg): 90.00 90.00 120.00
Space group P6_3/mmc (No. 194)
One atom of each set of equivalent atoms:
Ta 0.0000 0.0000 0.2500 (multiplicity 2)
Ta 0.3333 0.6667 0.2500 (multiplicity 2)
Rh 0.3333 0.6667 0.5790 (multiplicity 4)

Spin magnetization (μB/f.u.): 0.00
Formation energy (eV per atom): 0.2598
Density (Mg/m³): 13.775
D(E_F) (states/eV/cell): 10.067

=====

No. 2
Density functional theory data (PBE) for a relaxed structure of TaRh2.

a b c (Å): 5.7918 5.7918 5.9669
angles (deg): 90.00 90.00 90.00
Space group I4/mcm (No. 140)
One atom of each set of equivalent atoms:
Ta 0.0000 0.0000 0.2500 (multiplicity 4)
Rh 0.1565 0.3435 0.0000 (multiplicity 8)

Spin magnetization (μB/f.u.): 0.00
Formation energy (eV per atom): -0.1659
Density (Mg/m³): 12.834
D(E_F) (states/eV/cell): 5.481

=====

No. 3
Density functional theory data (PBE) for a relaxed structure of TaRh.

a b c (Å): 2.8387 14.3209 4.7802
angles (deg): 90.00 90.00 90.00
Space group Amm2 (No. 38)
One atom of each set of equivalent atoms:
Ta 0.0000 0.0000 0.0000 (multiplicity 2)
Ta 0.5000 0.1778 0.1979 (multiplicity 4)
Rh 0.0000 0.1540 0.6918 (multiplicity 4)
Rh 0.5000 0.0000 0.4860 (multiplicity 2)

Spin magnetization (μB/f.u.): 0.00
Formation energy (eV per atom): -0.3102
Density (Mg/m³): 14.553
D(E_F) (states/eV/cell): 12.882

=====

No. 4
Density functional theory data (PBE) for a relaxed structure of TaRh.

a b c (Å): 3.9312 3.9312 5.4177
angles (deg): 90.00 90.00 120.00
Space group P6_3/mmc (No. 194)
One atom of each set of equivalent atoms:
Ta 0.3333 0.6667 0.2500 (multiplicity 2)
Rh 0.0000 0.0000 0.0000 (multiplicity 2)

Spin magnetization (μB/f.u.): 0.00
Formation energy (eV per atom): -0.0984
Density (Mg/m³): 13.001
D(E_F) (states/eV/cell): 3.126

=====

No. 5
Density functional theory data (PBE) for a relaxed structure of Ta4Rh3.

a b c (Å): 3.2543 3.2543 21.9920
angles (deg): 90.00 90.00 90.00
Space group I4/mmm (No. 139)
One atom of each set of equivalent atoms:
Ta 0.0000 0.0000 0.0718 (multiplicity 4)
Ta 0.0000 0.0000 0.3480 (multiplicity 4)
Rh 0.0000 0.0000 0.2099 (multiplicity 4)
Rh 0.0000 0.0000 0.5000 (multiplicity 2)

Spin magnetization (μB/f.u.): 0.00
Formation energy (eV per atom): -0.3609
Energy relative to the lowest polymorph listed for this composition (kJ/mol of formula units): 3
Density (Mg/m³): 14.723
D(E_F) (states/eV/cell): 13.594

=====

No. 6
Density functional theory data (PBE) for a relaxed structure of TaRh.

a b c (Å): 2.9115 2.9115 8.8489
angles (deg): 90.00 90.00 120.00
Space group P6_3/mmc (No. 194)
One atom of each set of equivalent atoms:
Ta 0.0000 0.0000 0.0000 (multiplicity 2)
Rh 0.3333 0.6667 0.2500 (multiplicity 2)

Spin magnetization (μB/f.u.): 0.00
Formation energy (eV per atom): -0.2185
Density (Mg/m³): 14.512
D(E_F) (states/eV/cell): 5.434